Record 1
This record from Alexandria via LeMat-Bulk describes KAs2OsBr after structural relaxation. The functional is PBE-GGA.

Unit cell a=5.7771 b=5.7771 c=5.5194 alpha=90.00 beta=90.00 gamma=90.00
Sites, in units of the cell vectors:
K: 0.0000 0.0000 0.0000
As: 0.0000 0.5000 0.0000
As: 0.5000 0.0000 0.0000
Os: 0.5000 0.5000 0.5000
Br: 0.0000 0.0000 0.5000



Record 2
This record from Alexandria via LeMat-Bulk describes KAsOsBr2 after structural relaxation. The functional is PBE-GGA.

Unit cell a=6.0434 b=6.0434 c=6.0815 alpha=90.00 beta=90.00 gamma=90.00
Sites, in units of the cell vectors:
K: 0.0000 0.0000 0.0000
As: 0.0000 0.0000 0.5000
Os: 0.5000 0.5000 0.5000
Br: 0.0000 0.5000 0.0000
Br: 0.5000 0.0000 0.0000



Record 3
This record from Alexandria via LeMat-Bulk describes KAsPBr2 after structural relaxation. The functional is PBE-GGA.

Unit cell a=5.6972 b=5.6972 c=4.6130 alpha=90.00 beta=90.00 gamma=90.00
Sites, in units of the cell vectors:
K: 0.0000 0.0000 0.0000
As: 0.5000 0.5000 0.0000
P: 0.5000 0.5000 0.5000
Br: 0.0000 0.5000 0.5000
Br: 0.5000 0.0000 0.5000



Record 4
This record from Alexandria via LeMat-Bulk describes KAsPBr2 after structural relaxation. The functional is PBE-GGA.

Unit cell a=6.2472 b=6.2472 c=7.0047 alpha=90.00 beta=90.00 gamma=90.00
Sites, in units of the cell vectors:
K: 0.0000 0.0000 0.0000
As: 0.0000 0.0000 0.5000
P: 0.5000 0.5000 0.5000
Br: 0.0000 0.5000 0.0000
Br: 0.5000 0.0000 0.0000



Record 5
This record from Alexandria via LeMat-Bulk describes KAs2PbBr after structural relaxation. The functional is PBE-GGA.

Unit cell a=5.4948 b=5.4948 c=6.2406 alpha=90.00 beta=90.00 gamma=90.00
Sites, in units of the cell vectors:
K: 0.0000 0.0000 0.0000
As: 0.0000 0.5000 0.5000
As: 0.5000 0.0000 0.5000
Pb: 0.5000 0.5000 0.5000
Br: 0.5000 0.5000 0.0000



Record 6
This record from Alexandria via LeMat-Bulk describes KAs2PbBr after structural relaxation. The functional is PBE-GGA.

Unit cell a=5.6178 b=5.6178 c=5.6916 alpha=90.00 beta=90.00 gamma=90.00
Sites, in units of the cell vectors:
K: 0.0000 0.0000 0.0000
As: 0.0000 0.5000 0.0000
As: 0.5000 0.0000 0.0000
Pb: 0.5000 0.5000 0.5000
Br: 0.0000 0.0000 0.5000



Record 7
This record from Alexandria via LeMat-Bulk describes KAsPb2Br8 after structural relaxation. The functional is PBE-GGA.

Unit cell a=6.7953 b=7.1148 c=9.0791 alpha=89.99 beta=89.94 gamma=88.77
Sites, in units of the cell vectors:
K: 0.0000 0.0000 0.0000
As: 0.0000 0.0000 0.5000
Pb: 0.4998 0.5001 0.2559
Pb: 0.5002 0.4999 0.7441
Br: 0.2261 0.3106 0.5003
Br: 0.2318 0.8493 0.7090
Br: 0.2325 0.8500 0.2907
Br: 0.2695 0.3665 0.0001
Br: 0.7305 0.6335 0.9999
Br: 0.7675 0.1500 0.7093
Br: 0.7682 0.1507 0.2910
Br: 0.7739 0.6894 0.4997



Record 8
This record from Alexandria via LeMat-Bulk describes K2AsPbBr after structural relaxation. The functional is PBE-GGA.

Unit cell a=6.5874 b=6.5874 c=5.2605 alpha=90.00 beta=90.00 gamma=90.00
Sites, in units of the cell vectors:
K: 0.0000 0.5000 0.0000
K: 0.5000 0.0000 0.0000
As: 0.0000 0.0000 0.0000
Pb: 0.5000 0.5000 0.5000
Br: 0.0000 0.0000 0.5000



Energy relative to the elements, uncorrected / eV/atom: 2.198, 1.606, -0.276, 0.850, 0.061, 0.765, -0.850, 0.069
Fermi-level density of states / states/eV/f.u.: 8.30, 9.70, 3.27, 9.64, 4.88, 4.07, 0.00, 5.23